PBE with a Hubbard U KMoIrO6, optimized geometry; Fermi-level density of states = 3.90 states/eV/cell; raw total energy = -6.443 eV/atom
1.0
-1.869 -3.976 -3.023
-0.892 -4.796 2.155
-5.544 1.617 1.302
O Ir K Mo
6 1 1 1
direct
0.387 0.997 0.680
0.615 0.997 0.320
0.997 0.615 0.680
0.387 0.615 0.320
0.615 0.387 0.680
0.997 0.387 0.320
0.333 0.333 0.500
0.000 0.000 0.000
0.667 0.667 0.500